DFT (PBE) results for a relaxed Rb2Ce4Se3N2 crystal.

Cell: 4.7380 4.7380 13.5383 Å, 100.08 100.08 90.00°
Positions (direct):
Se: 0.8426 0.8426 0.6853
Se: 0.1574 0.1574 0.3147
Se: 0.0000 0.0000 0.0000
Ce: 0.4231 0.9231 0.8461
Ce: 0.9231 0.4231 0.8461
Ce: 0.5769 0.0769 0.1539
Ce: 0.0769 0.5769 0.1539
N: 0.4139 0.4139 0.8278
N: 0.5861 0.5861 0.1722
Rb: 0.7009 0.7009 0.4017
Rb: 0.2991 0.2991 0.5983

volume: 294.5 Å³/cell
E_tot: -6.0779 eV/atom
crystal system: tetragonal
formation energy from raw total energies: -1.28 eV/atom

DFT (PBE) results for a relaxed RbCeTcN3 crystal.

Cell: 3.6083 8.5078 7.9360 Å, 104.40 90.00 102.24°
Positions (direct):
Ce: 0.3350 0.6700 0.4673
Ce: 0.6650 0.3300 0.5327
Rb: 0.6360 0.2721 0.0650
Rb: 0.3640 0.7279 0.9350
N: 0.4801 0.9601 0.6880
N: 0.1297 0.2594 0.7375
N: 0.1945 0.3891 0.3887
N: 0.8703 0.7406 0.2625
N: 0.8055 0.6109 0.6113
N: 0.5199 0.0399 0.3120
Tc: 0.9807 0.9614 0.3259
Tc: 0.0193 0.0386 0.6741

volume: 230.3 Å³/cell
E_tot: -7.5957 eV/atom
crystal system: monoclinic
formation energy from raw total energies: -0.56 eV/atom

DFT (PBE) results for a relaxed RbCeVN3 crystal.

Cell: 3.8344 7.0386 8.1037 Å, 104.12 90.00 105.81°
Positions (direct):
Ce: 0.3439 0.6878 0.4223
Ce: 0.6561 0.3122 0.5777
N: 0.8379 0.6758 0.6054
N: 0.8669 0.7339 0.2413
N: 0.1621 0.3242 0.3946
N: 0.1331 0.2661 0.7587
N: 0.4879 0.9758 0.6608
N: 0.5121 0.0242 0.3392
Rb: 0.3571 0.7142 0.9336
Rb: 0.6429 0.2858 0.0664
V: 0.9945 0.9889 0.6791
V: 0.0055 0.0111 0.3209

volume: 203.6 Å³/cell
E_tot: -7.5828 eV/atom
crystal system: monoclinic
formation energy from raw total energies: -0.75 eV/atom

DFT (PBE) results for a relaxed Ce6ReN8 crystal.

Cell: 6.6893 6.6893 6.6893 Å, 100.37 100.37 100.37°
Positions (direct):
Ce: 0.3131 0.5617 0.1522
Ce: 0.4383 0.8478 0.6869
Ce: 0.8478 0.6869 0.4383
Ce: 0.6869 0.4383 0.8478
Ce: 0.5617 0.1522 0.3131
Ce: 0.1522 0.3131 0.5617
N: 0.8267 0.3813 0.5548
N: 0.6187 0.4452 0.1733
N: 0.3813 0.5548 0.8267
N: 0.7988 0.7988 0.7988
N: 0.4452 0.1733 0.6187
N: 0.5548 0.8267 0.3813
N: 0.1733 0.6187 0.4452
N: 0.2012 0.2012 0.2012
Re: 0.0000 0.0000 0.0000

volume: 282.6 Å³/cell
E_tot: -8.7068 eV/atom
crystal system: trigonal
formation energy from raw total energies: -1.06 eV/atom

> Look up the E_tot of the second one.

-7.5957 eV/atom